DFT (GGA-PBE) results for YEr2Hf after structural relaxation.

Size of the total moment (μB per formula unit): 0.000
Mass density (g/cm3): 8.73
Symmetry: R-3m, No. 166
Energy relative to the lowest polymorph listed for this composition (meV/atom): 265.4

```
YEr2Hf
1.0
1.664 0.960 11.944
-1.664 0.960 11.944
0.000 -1.921 11.944
Y Er Hf
1 2 1
Direct
0.000 0.000 0.000
0.414 0.414 0.414
0.586 0.586 0.586
0.500 0.500 0.500
```

***

DFT (GGA-PBE) results for YErHf2 after structural relaxation.

Size of the total moment (μB per formula unit): 0.000
Mass density (g/cm3): 9.83
Symmetry: P4/mmm, No. 123
Energy relative to the lowest polymorph listed for this composition (meV/atom): 3.4

```
YErHf2
1.0
4.643 0.000 0.000
0.000 4.643 0.000
0.000 0.000 4.807
Y Er Hf
1 1 2
Direct
0.000 0.000 0.000
0.500 0.500 0.000
0.000 0.500 0.500
0.500 0.000 0.500
```

***

DFT (GGA-PBE) results for YEr2Hf after structural relaxation.

Size of the total moment (μB per formula unit): 0.000
Mass density (g/cm3): 8.72
Symmetry: P4/mmm, No. 123
Energy relative to the lowest polymorph listed for this composition (meV/atom): 112.2

```
YEr2Hf
1.0
3.949 0.000 0.000
0.000 3.949 0.000
0.000 0.000 7.349
Y Er Hf
1 2 1
Direct
0.000 0.000 0.000
0.500 0.500 0.280
0.500 0.500 0.720
0.000 0.000 0.500
```

***

DFT (GGA-PBE) results for YErHf after structural relaxation.

Size of the total moment (μB per formula unit): 0.000
Mass density (g/cm3): 8.67
Symmetry: P2_1/m, No. 11
Energy relative to the lowest polymorph listed for this composition (meV/atom): 5.2

```
YErHf
1.0
3.384 0.000 0.000
0.000 4.684 0.000
-0.015 0.000 10.506
Y Er Hf
2 2 2
Direct
0.250 0.250 0.093
0.750 0.750 0.907
0.251 0.250 0.727
0.749 0.750 0.273
0.250 0.250 0.431
0.750 0.750 0.569
```

***

DFT (GGA-PBE) results for YEr14Hf after structural relaxation.

Size of the total moment (μB per formula unit): 0.000
Mass density (g/cm3): 8.93
Symmetry: Amm2, No. 38

```
YEr14Hf
1.0
11.020 0.000 0.000
0.000 3.565 6.172
0.000 -3.565 6.172
Y Er Hf
1 14 1
Direct
0.000 0.000 0.000
0.000 0.503 0.999
0.000 0.999 0.503
0.243 0.337 0.337
0.244 0.338 0.828
0.244 0.828 0.338
0.253 0.834 0.834
0.500 0.001 0.001
0.500 0.001 0.500
0.500 0.500 0.001
0.500 0.501 0.501
0.747 0.834 0.834
0.756 0.338 0.828
0.756 0.828 0.338
0.757 0.337 0.337
0.000 0.501 0.501
```

***

DFT (GGA-PBE) results for YErHf after structural relaxation.

Size of the total moment (μB per formula unit): 0.000
Mass density (g/cm3): 8.64
Symmetry: I4mm, No. 107
Energy relative to the lowest polymorph listed for this composition (meV/atom): 0.0

```
YErHf
1.0
-1.684 1.684 7.368
1.684 -1.684 7.368
1.684 1.684 -7.368
Y Er Hf
1 1 1
Direct
0.000 0.000 0.000
0.309 0.309 0.000
0.657 0.657 0.000
```

***

DFT (GGA-PBE) results for YErHf after structural relaxation.

Size of the total moment (μB per formula unit): 0.002
Mass density (g/cm3): 8.69
Symmetry: P-6m2, No. 187
Energy relative to the lowest polymorph listed for this composition (meV/atom): 79.2

```
YErHf
1.0
5.311 0.000 0.000
-2.655 4.599 0.000
0.000 0.000 3.399
Y Er Hf
1 1 1
Direct
0.000 0.000 0.000
0.667 0.333 0.500
0.333 0.667 0.500
```

***

DFT (GGA-PBE) results for YEr2Hf after structural relaxation.

Size of the total moment (μB per formula unit): 0.011
Mass density (g/cm3): 8.81
Symmetry: R3m, No. 160
Energy relative to the lowest polymorph listed for this composition (meV/atom): 0.0

```
YEr2Hf
1.0
1.715 0.990 11.127
-1.715 0.990 11.127
0.000 -1.981 11.127
Y Er Hf
1 2 1
Direct
0.000 0.000 0.000
0.578 0.578 0.578
0.755 0.755 0.755
0.166 0.166 0.166
```

***

DFT (GGA-PBE) results for YErHf2 after structural relaxation.

Size of the total moment (μB per formula unit): 0.000
Mass density (g/cm3): 9.84
Symmetry: R-3m, No. 166
Energy relative to the lowest polymorph listed for this composition (meV/atom): 0.0

```
YErHf2
1.0
1.653 0.954 10.931
-1.653 0.954 10.931
0.000 -1.909 10.931
Y Er Hf
1 1 2
Direct
0.000 0.000 0.000
0.500 0.500 0.500
0.249 0.249 0.249
0.751 0.751 0.751
```

***

DFT (GGA-PBE) results for ErHfZn17 after structural relaxation.

Size of the total moment (μB per formula unit): 0.000
Mass density (g/cm3): 8.17
Symmetry: R3m, No. 160

```
ErHfZn17
1.0
4.433 2.560 4.349
-4.433 2.560 4.349
0.000 -5.119 4.349
Er Hf Zn
1 1 17
Direct
0.000 0.000 0.000
0.666 0.666 0.666
0.032 0.338 0.635
0.032 0.635 0.338
0.189 0.685 0.685
0.240 0.240 0.240
0.327 0.327 0.844
0.327 0.844 0.327
0.338 0.032 0.635
0.338 0.635 0.032
0.440 0.440 0.440
0.514 0.974 0.974
0.635 0.032 0.338
0.635 0.338 0.032
0.685 0.189 0.685
0.685 0.685 0.189
0.844 0.327 0.327
0.974 0.514 0.974
0.974 0.974 0.514
```

***

DFT (GGA-PBE) results for ErHf2Zn6 after structural relaxation.

Size of the total moment (μB per formula unit): 0.000
Mass density (g/cm3): 9.55
Symmetry: P6/mmm, No. 191

```
ErHf2Zn6
1.0
7.587 0.000 0.000
-3.794 6.571 0.000
0.000 0.000 3.196
Er Hf Zn
1 2 6
Direct
0.000 0.000 0.000
0.333 0.667 0.000
0.667 0.333 0.000
0.000 0.338 0.500
0.000 0.662 0.500
0.338 0.000 0.500
0.338 0.338 0.500
0.662 0.000 0.500
0.662 0.662 0.500
```

***

DFT (GGA-PBE) results for ErHfZn after structural relaxation.

Size of the total moment (μB per formula unit): 0.000
Mass density (g/cm3): 10.06
Symmetry: R-3m, No. 166
Energy relative to the lowest polymorph listed for this composition (meV/atom): 370.9

```
ErHfZn
1.0
2.565 1.481 5.954
-2.565 1.481 5.954
0.000 -2.962 5.954
Er Hf Zn
2 2 2
Direct
0.147 0.147 0.147
0.853 0.853 0.853
0.343 0.343 0.343
0.657 0.657 0.657
0.000 0.000 0.000
0.500 0.500 0.500
```

***

DFT (GGA-PBE) results for ErHfZn4 after structural relaxation.

Size of the total moment (μB per formula unit): 0.000
Mass density (g/cm3): 9.26
Symmetry: Pmmm, No. 47
Energy relative to the lowest polymorph listed for this composition (meV/atom): 0.0

```
ErHfZn4
1.0
3.241 0.000 0.000
0.000 4.405 0.000
0.000 0.000 7.627
Er Hf Zn
1 1 4
Direct
0.000 0.000 0.000
0.000 0.500 0.500
0.500 0.000 0.339
0.500 0.000 0.661
0.500 0.500 0.175
0.500 0.500 0.825
```

***

DFT (GGA-PBE) results for ErHfZn after structural relaxation.

Size of the total moment (μB per formula unit): 0.000
Mass density (g/cm3): 10.10
Symmetry: P3m1, No. 156
Energy relative to the lowest polymorph listed for this composition (meV/atom): 196.0

```
ErHfZn
1.0
4.827 0.000 0.000
-2.414 4.181 0.000
0.000 0.000 3.349
Er Hf Zn
1 1 1
Direct
0.000 0.000 0.000
0.333 0.667 0.500
0.667 0.333 0.499
```

***

DFT (GGA-PBE) results for Er3Hf2Zn3 after structural relaxation.

Size of the total moment (μB per formula unit): 0.000
Mass density (g/cm3): 9.94
Symmetry: Immm, No. 71

```
Er3Hf2Zn3
1.0
-1.703 2.497 10.360
1.703 -2.497 10.360
1.703 2.497 -10.360
Er Hf Zn
3 2 3
Direct
0.000 0.000 0.000
0.374 0.874 0.500
0.626 0.126 0.500
0.232 0.232 0.000
0.768 0.768 0.000
0.119 0.619 0.500
0.500 0.500 0.000
0.881 0.381 0.500
```

***

DFT (GGA-PBE) results for Er5HfZn4 after structural relaxation.

Size of the total moment (μB per formula unit): 0.000
Mass density (g/cm3): 9.25
Symmetry: P4/mmm, No. 123

```
Er5HfZn4
1.0
3.458 0.000 0.000
0.000 3.458 0.000
0.000 0.000 19.159
Er Hf Zn
5 1 4
Direct
0.000 0.000 0.000
0.000 0.000 0.189
0.000 0.000 0.384
0.000 0.000 0.616
0.000 0.000 0.811
0.500 0.500 0.500
0.500 0.500 0.095
0.500 0.500 0.285
0.500 0.500 0.715
0.500 0.500 0.905
```

***

DFT (GGA-PBE) results for Er5HfZn6 after structural relaxation.

Size of the total moment (μB per formula unit): 0.001
Mass density (g/cm3): 9.13
Symmetry: C2/m, No. 12

```
Er5HfZn6
1.0
7.821 -3.497 0.000
7.821 3.497 0.000
-1.545 0.000 4.678
Er Hf Zn
5 1 6
Direct
0.000 0.000 0.000
0.164 0.164 0.664
0.327 0.327 0.327
0.673 0.673 0.673
0.836 0.836 0.336
0.500 0.500 0.000
0.103 0.577 0.840
0.274 0.726 0.500
0.423 0.897 0.160
0.577 0.103 0.840
0.726 0.274 0.500
0.897 0.423 0.160
```

***

DFT (GGA-PBE) results for ErHfZn6 after structural relaxation.

Size of the total moment (μB per formula unit): 0.000
Mass density (g/cm3): 8.90
Symmetry: Amm2, No. 38

```
ErHfZn6
1.0
4.358 0.000 0.000
0.000 3.166 4.989
0.000 -3.166 4.989
Er Hf Zn
1 1 6
Direct
0.000 0.000 0.000
0.500 0.717 0.717
0.000 0.054 0.482
0.000 0.482 0.054
0.000 0.534 0.534
0.500 0.196 0.196
0.500 0.237 0.655
0.500 0.655 0.237
```

***

DFT (GGA-PBE) results for ErHfZn4 after structural relaxation.

Size of the total moment (μB per formula unit): 1.128
Mass density (g/cm3): 9.52
Symmetry: F-43m, No. 216
Energy relative to the lowest polymorph listed for this composition (meV/atom): 60.3

```
ErHfZn4
1.0
0.000 3.756 3.756
3.756 0.000 3.756
3.756 3.756 0.000
Er Hf Zn
1 1 4
Direct
0.000 0.000 0.000
0.750 0.750 0.750
0.376 0.376 0.376
0.376 0.376 0.873
0.376 0.873 0.376
0.873 0.376 0.376
```

***

DFT (GGA-PBE) results for Er2HfZn4 after structural relaxation.

Size of the total moment (μB per formula unit): 0.000
Mass density (g/cm3): 8.54
Symmetry: I4/mmm, No. 139

```
Er2HfZn4
1.0
-2.477 2.477 6.134
2.477 -2.477 6.134
2.477 2.477 -6.134
Er Hf Zn
2 1 4
Direct
0.231 0.231 0.000
0.769 0.769 0.000
0.500 0.500 0.000
0.105 0.605 0.500
0.395 0.895 0.500
0.605 0.105 0.500
0.895 0.395 0.500
```

***

| no. | E (eV/f.u.) | D(E_F) (states/eV per atom) |
| --- | --- | --- |
| 1 | -24.07 | 1.74 |
| 2 | -30.16 | 1.27 |
| 3 | -24.68 | 2.02 |
| 4 | -20.61 | 1.53 |
| 5 | -79.90 | 1.54 |
| 6 | -20.63 | 1.42 |
| 7 | -20.39 | 1.91 |
| 8 | -25.13 | 1.59 |
| 9 | -30.17 | 1.40 |
| 10 | -38.92 | 0.23 |
| 11 | -34.42 | 0.61 |
| 12 | -15.08 | 1.11 |
| 13 | -21.29 | 0.70 |
| 14 | -15.60 | 0.82 |
| 15 | -39.19 | 0.73 |
| 16 | -40.29 | 1.01 |
| 17 | -43.98 | 1.00 |
| 18 | -24.08 | 0.48 |
| 19 | -20.93 | 0.95 |
| 20 | -24.94 | 0.51 |